Below is Ca3Pu2ZrN6 after structural relaxation, with properties calculated at the GGA-PBE level.

Cell: 5.954 5.954 5.986 Å, 99.54 99.54 120.00°
Site moments in Bohr magnetons follow the coordinates.
Fractional positions:
N1 0.400 0.071 0.214  -0.14
N2 0.743 0.743 0.215  -0.14
Pu1 0.667 0.333 0.000  4.22
N3 0.929 0.600 0.786  -0.14
Ca1 0.835 0.165 0.500  0.03
Ca2 0.500 0.500 0.500  0.03
N4 0.071 0.400 0.214  -0.14
N5 0.257 0.257 0.785  -0.14
N6 0.600 0.929 0.786  -0.14
Zr1 0.000 0.000 0.000  0.11
Pu2 0.333 0.667 0.000  4.22
Ca3 0.165 0.835 0.500  0.03

- total magnetization (μB per cell) = 8.00
- E (eV per atom) = -9.0594
- ΔE_f (raw) (meV per atom) = -1295
- SG = C2/m
- D(E_F) (states/eV per cell) = 12.7